# 1
Below is Mn2MoOs after structural relaxation, with properties calculated at the GGA-PBE level.

Unit cell a=8.863 b=8.863 c=8.863 alpha=17.48 beta=17.48 gamma=17.48
Element x y z (fractional)
Mn 0.247 0.247 0.247
Mn 0.753 0.753 0.753
Mo 0.000 0.000 0.000
Os 0.500 0.500 0.500

Values from the calculation:
The space-group type is No. 166. The value obtained for the total energy is -9.857 eV per atom.

# 2
Below is MnMoOs2 after structural relaxation, with properties calculated at the GGA-PBE level.

Unit cell a=4.680 b=2.725 c=4.703 alpha=90.00 beta=109.37 gamma=90.00
Element x y z (fractional)
Mn 0.000 0.000 0.000
Mo 0.000 0.500 0.500
Os 0.500 0.000 0.500
Os 0.500 0.500 0.000

Values from the calculation:
The offset from the most stable computed form comes out at 60 meV/atom. The space-group type is No. 10. The value obtained for the total energy is -10.510 eV per atom.

# 3
Below is Mn2MoOs after structural relaxation, with properties calculated at the GGA-PBE level.

Unit cell a=4.049 b=5.031 c=5.031 alpha=30.84 beta=90.00 gamma=90.00
Element x y z (fractional)
Mn 0.000 0.000 0.000
Mn 0.500 0.115 0.115
Mo 0.000 0.739 0.739
Os 0.500 0.388 0.388

Values from the calculation:
The space-group type is No. 38. The value obtained for the total energy is -10.003 eV per atom.

# 4
Below is MnMo3Os after structural relaxation, with properties calculated at the GGA-PBE level.

Unit cell a=4.378 b=4.378 c=4.378 alpha=90.00 beta=90.00 gamma=90.00
Element x y z (fractional)
Mn 0.000 0.000 0.000
Mo 0.000 0.000 0.500
Mo 0.000 0.500 0.000
Mo 0.500 0.000 0.000
Os 0.500 0.500 0.500

Values from the calculation:
The offset from the most stable computed form comes out at 0 meV/atom. The space-group type is No. 221. The value obtained for the total energy is -9.302 eV per atom.

# 5
Below is Mn2Mo2Os after structural relaxation, with properties calculated at the GGA-PBE level.

Unit cell a=6.793 b=6.793 c=2.962 alpha=90.00 beta=90.00 gamma=90.00
Element x y z (fractional)
Mn 0.127 0.373 0.000
Mn 0.373 0.873 0.000
Mn 0.627 0.127 0.000
Mn 0.873 0.627 0.000
Mo 0.176 0.676 0.500
Mo 0.324 0.176 0.500
Mo 0.676 0.824 0.500
Mo 0.824 0.324 0.500
Os 0.000 0.000 0.000
Os 0.500 0.500 0.000

Values from the calculation:
The offset from the most stable computed form comes out at 0 meV/atom. The space-group type is No. 127. The value obtained for the total energy is -10.005 eV per atom.

# 6
Below is Mn2MoOs after structural relaxation, with properties calculated at the GGA-PBE level.

Unit cell a=2.670 b=3.684 c=5.396 alpha=90.00 beta=90.00 gamma=90.00
Element x y z (fractional)
Mn 0.000 0.000 0.240
Mn 0.000 0.000 0.760
Mo 0.500 0.500 0.500
Os 0.500 0.500 0.000

Values from the calculation:
The space-group type is No. 47. The value obtained for the total energy is -9.975 eV per atom.

What did the fifth record say?
Below is Mn2Mo2Os after structural relaxation, with properties calculated at the GGA-PBE level.

Unit cell a=6.793 b=6.793 c=2.962 alpha=90.00 beta=90.00 gamma=90.00
Element x y z (fractional)
Mn 0.127 0.373 0.000
Mn 0.373 0.873 0.000
Mn 0.627 0.127 0.000
Mn 0.873 0.627 0.000
Mo 0.176 0.676 0.500
Mo 0.324 0.176 0.500
Mo 0.676 0.824 0.500
Mo 0.824 0.324 0.500
Os 0.000 0.000 0.000
Os 0.500 0.500 0.000

Values from the calculation:
The offset from the most stable computed form comes out at 0 meV/atom. The space-group type is No. 127. The value obtained for the total energy is -10.005 eV per atom.